DFT (GGA-PBE) results for a relaxed BeFeAs2 crystal.

POSCAR file:
```
BeFeAs2
1.0
3.839 0.000 0.000
0.000 3.306 0.005
0.000 1.650 4.198
As Be Fe
2 1 1
Cartesian
1.919 1.442 1.454
0.000 4.752 3.864
0.000 3.102 1.993
1.919 3.095 3.196
```

Computed properties:
**E above lowest polymorph**: 0.063 eV/atom
**Formation energy**: 20 kJ/mol of formula units
**Calculated volume**: 13.314 A^3/atom